Density functional theory data (PBE) for CrCo2Br after structural relaxation.

```
CrCo2Br
1.0
3.020 0.000 0.000
0.000 3.020 0.000
0.000 0.000 6.032
Co Cr Br
2 1 1
Direct
0.000 0.000 0.465 Co
0.000 0.000 0.035 Co
0.500 0.500 0.250 Cr
0.500 0.500 0.750 Br
```

Calculated values
V, Å³/f.u.: 55
Energy, eV for the cell shown: -23.1
Crystal system: tetragonal
E_form (uncorrected), eV per atom: 0.61
Fermi-level density of states, states/eV per cell: 4.76